<P>
Density functional theory data (PBE-GGA) for a relaxed structure of ScGeMo3.

It has space group Pm-3m (No. 221), with a = 4.6337 Å, b = 4.6337 Å, c = 4.6337 Å, α = 90.00°, β = 90.00° and γ = 90.00°. The asymmetric unit holds Sc at (0.0000, 0.0000, 0.0000), Ge at (0.5000, 0.5000, 0.5000) and Mo at (0.0000, 0.0000, 0.5000).

The spin magnetization comes out at 0.0 μB per cell.



<Q>
Density functional theory data (PBE-GGA) for a relaxed structure of ScGeMo3.

It has space group Pm-3m (No. 221), with a = 4.6534 Å, b = 4.6534 Å, c = 4.6534 Å, α = 90.00°, β = 90.00° and γ = 90.00°. The asymmetric unit holds Sc at (0.0000, 0.0000, 0.0000), Ge at (0.5000, 0.5000, 0.5000) and Mo at (0.0000, 0.5000, 0.5000).

The spin magnetization comes out at 0.0 μB per cell.



Here are the energies relative to the best structure, in kJ/mol of atoms: <P> 97.4; <Q> 0.0.



<P>
Density functional theory data (PBE-GGA) for a relaxed structure of ScGe2Mo.

It has space group I-42d (No. 122), with a = 3.9699 Å, b = 3.9699 Å, c = 18.9276 Å, α = 90.00°, β = 90.00° and γ = 90.00°. The asymmetric unit holds Sc at (0.0000, 0.0000, 0.0000), Ge at (0.2326, 0.2500, 0.6250) and Mo at (0.0000, 0.0000, 0.5000).

The spin magnetization comes out at 0.0 μB per cell.



<Q>
Density functional theory data (PBE-GGA) for a relaxed structure of ScGe2Mo.

It has space group Fm-3m (No. 225), with a = 6.4469 Å, b = 6.4469 Å, c = 6.4469 Å, α = 90.00°, β = 90.00° and γ = 90.00°. The asymmetric unit holds Sc at (0.0000, 0.0000, 0.0000), Ge at (0.2500, 0.2500, 0.2500) and Mo at (0.0000, 0.0000, 0.5000).

The spin magnetization comes out at 0.0 μB per cell.



<R>
Density functional theory data (PBE-GGA) for a relaxed structure of ScGe2Mo.

It has space group R-3m (No. 166, hexagonal axes), with a = 3.5656 Å, b = 3.5656 Å, c = 20.0851 Å, α = 90.00°, β = 90.00° and γ = 120.00°. The asymmetric unit holds Sc at (0.0000, 0.0000, 0.0000), Ge at (0.0000, 0.0000, 0.2442) and Mo at (0.0000, 0.0000, 0.5000).

The spin magnetization comes out at 0.0 μB per cell.



Here are the energies relative to the best structure, in kJ/mol of atoms: <P> 40.6; <Q> 3.1; <R> 0.0.



<P>
Density functional theory data (PBE-GGA) for a relaxed structure of Sc2Ge4Mo3.

It has space group Pnma (No. 62), with a = 6.7276 Å, b = 12.9249 Å, c = 6.9284 Å, α = 90.00°, β = 90.00° and γ = 90.00°. The asymmetric unit holds Sc at (0.0114, 0.0899, 0.1733), Ge at (0.0278, 0.2500, 0.8783), Ge at (0.1762, 0.0458, 0.5424), Ge at (0.1920, 0.7500, 0.6546), Mo at (0.1627, 0.2500, 0.5033) and Mo at (0.1708, 0.6257, 0.3449).

The spin magnetization comes out at 0.0 μB per cell.



<Q>
Density functional theory data (PBE-GGA) for a relaxed structure of Sc2Ge4Mo3.

It has space group P2_1/c (No. 14), with a = 6.8657 Å, b = 6.9262 Å, c = 6.7320 Å, α = 90.00°, β = 109.34° and γ = 90.00°. The asymmetric unit holds Sc at (0.1901, 0.1725, 0.0546), Ge at (0.0877, 0.5401, 0.8506), Ge at (0.4958, 0.1369, 0.8656), Mo at (0.2459, 0.6614, 0.2457) and Mo at (0.5000, 0.0000, 0.5000).

The spin magnetization comes out at 0.0 μB per cell.



Here are the energies relative to the best structure, in kJ/mol of atoms: <P> 0.0; <Q> 2.3.



<P>
Density functional theory data (PBE-GGA) for a relaxed structure of GeMo2Se.

It has space group Fm-3m (No. 225), with a = 6.2740 Å, b = 6.2740 Å, c = 6.2740 Å, α = 90.00°, β = 90.00° and γ = 90.00°. The asymmetric unit holds Ge at (0.0000, 0.0000, 0.0000), Mo at (0.2500, 0.2500, 0.2500) and Se at (0.0000, 0.0000, 0.5000).

The spin magnetization comes out at 0.0 μB per cell.



<Q>
Density functional theory data (PBE-GGA) for a relaxed structure of GeMo2Se.

It has space group I-42d (No. 122), with a = 5.8561 Å, b = 5.8561 Å, c = 10.8088 Å, α = 90.00°, β = 90.00° and γ = 90.00°. The asymmetric unit holds Ge at (0.0000, 0.0000, 0.0000), Mo at (0.2468, 0.2500, 0.6250) and Se at (0.0000, 0.0000, 0.5000).

The spin magnetization comes out at 9.2 μB per cell.



Here are the energies relative to the best structure, in kJ/mol of atoms: <P> 0.0; <Q> 62.7.



<P>
Density functional theory data (PBE-GGA) for a relaxed structure of SnGe2Mo.

It has space group I-42d (No. 122), with a = 5.9900 Å, b = 5.9900 Å, c = 12.1495 Å, α = 90.00°, β = 90.00° and γ = 90.00°. The asymmetric unit holds Sn at (0.0000, 0.0000, 0.0000), Ge at (0.2138, 0.2500, 0.6250) and Mo at (0.0000, 0.0000, 0.5000).

The spin magnetization comes out at 6.0 μB per cell.



<Q>
Density functional theory data (PBE-GGA) for a relaxed structure of SnGe2Mo.

It has space group R-3m (No. 166, hexagonal axes), with a = 3.1614 Å, b = 3.1614 Å, c = 27.8021 Å, α = 90.00°, β = 90.00° and γ = 120.00°. The asymmetric unit holds Sn at (0.0000, 0.0000, 0.0000), Ge at (0.0000, 0.0000, 0.1001) and Mo at (0.0000, 0.0000, 0.5000).

The spin magnetization comes out at 0.0 μB per cell.



<R>
Density functional theory data (PBE-GGA) for a relaxed structure of SnGe2Mo.

It has space group Fm-3m (No. 225), with a = 6.6778 Å, b = 6.6778 Å, c = 6.6778 Å, α = 90.00°, β = 90.00° and γ = 90.00°. The asymmetric unit holds Sn at (0.0000, 0.0000, 0.0000), Ge at (0.2500, 0.2500, 0.2500) and Mo at (0.0000, 0.0000, 0.5000).

The spin magnetization comes out at 0.0 μB per cell.



Here are the energies relative to the best structure, in kJ/mol of atoms: <P> 53.2; <Q> 0.0; <R> 45.9.



<P>
Density functional theory data (PBE-GGA) for a relaxed structure of TaGe2Mo.

It has space group I-42d (No. 122), with a = 3.8773 Å, b = 3.8773 Å, c = 18.8491 Å, α = 90.00°, β = 90.00° and γ = 90.00°. The asymmetric unit holds Ta at (0.0000, 0.0000, 0.0000), Ge at (0.2495, 0.2500, 0.1250) and Mo at (0.0000, 0.0000, 0.5000).

The spin magnetization comes out at 0.0 μB per cell.



<Q>
Density functional theory data (PBE-GGA) for a relaxed structure of TaGe2Mo.

It has space group Fm-3m (No. 225), with a = 6.3493 Å, b = 6.3493 Å, c = 6.3493 Å, α = 90.00°, β = 90.00° and γ = 90.00°. The asymmetric unit holds Ta at (0.0000, 0.0000, 0.0000), Ge at (0.2500, 0.2500, 0.2500) and Mo at (0.0000, 0.0000, 0.5000).

The spin magnetization comes out at 0.0 μB per cell.



Here are the energies relative to the best structure, in kJ/mol of atoms: <P> 23.4; <Q> 0.0.



<P>
Density functional theory data (PBE-GGA) for a relaxed structure of TaGeMo3.

It has space group Pm-3m (No. 221), with a = 4.7883 Å, b = 4.7883 Å, c = 4.7883 Å, α = 90.00°, β = 90.00° and γ = 90.00°. The asymmetric unit holds Ta at (0.0000, 0.0000, 0.0000), Ge at (0.5000, 0.5000, 0.5000) and Mo at (0.0000, 0.0000, 0.5000).

The spin magnetization comes out at 0.1 μB per cell.



<Q>
Density functional theory data (PBE-GGA) for a relaxed structure of TaGeMo3.

It has space group Pm-3m (No. 221), with a = 4.5657 Å, b = 4.5657 Å, c = 4.5657 Å, α = 90.00°, β = 90.00° and γ = 90.00°. The asymmetric unit holds Ta at (0.0000, 0.0000, 0.0000), Ge at (0.5000, 0.5000, 0.5000) and Mo at (0.0000, 0.5000, 0.5000).

The spin magnetization comes out at 0.0 μB per cell.



Here are the energies relative to the best structure, in kJ/mol of atoms: <P> 65.6; <Q> 0.0.



<P>
Density functional theory data (PBE-GGA) for a relaxed structure of TcGe4Mo2.

It has space group C2/m (No. 12), with a = 14.6401 Å, b = 3.1262 Å, c = 5.5919 Å, α = 90.00°, β = 111.15° and γ = 90.00°. The asymmetric unit holds Tc at (0.0000, 0.0000, 0.0000), Ge at (0.1108, 0.5000, 0.3241), Ge at (0.1175, 0.0000, 0.7766) and Mo at (0.2447, 0.0000, 0.2439).

The spin magnetization comes out at 0.0 μB per cell.



<Q>
Density functional theory data (PBE-GGA) for a relaxed structure of TcGe4Mo2.

It has space group I4/mmm (No. 139), with a = 4.7397 Å, b = 4.7397 Å, c = 12.6399 Å, α = 90.00°, β = 90.00° and γ = 90.00°. The asymmetric unit holds Tc at (0.0000, 0.0000, 0.0000), Ge at (0.0000, 0.0000, 0.2016), Ge at (0.0000, 0.5000, 0.0000) and Mo at (0.0000, 0.0000, 0.4029).

The spin magnetization comes out at 0.0 μB per cell.



Here are the energies relative to the best structure, in kJ/mol of atoms: <P> 0.0; <Q> 64.3.



<P>
Density functional theory data (PBE-GGA) for a relaxed structure of TcGe2Mo.

It has space group P4/mmm (No. 123), with a = 3.0789 Å, b = 3.0789 Å, c = 6.2840 Å, α = 90.00°, β = 90.00° and γ = 90.00°. The asymmetric unit holds Tc at (0.0000, 0.0000, 0.0000), Ge at (0.5000, 0.5000, 0.2390) and Mo at (0.0000, 0.0000, 0.5000).

The spin magnetization comes out at 0.0 μB per cell.



<Q>
Density functional theory data (PBE-GGA) for a relaxed structure of TcGe2Mo.

It has space group C2/c (No. 15), with a = 8.8036 Å, b = 11.8092 Å, c = 5.1305 Å, α = 90.00°, β = 112.81° and γ = 90.00°. The asymmetric unit holds Tc at (0.0000, 0.0582, 0.2500), Tc at (0.0000, 0.3153, 0.2500), Ge at (0.2426, 0.1857, 0.2573), Ge at (0.2473, 0.0640, 0.7453), Mo at (0.0000, 0.1920, 0.7500) and Mo at (0.0000, 0.4360, 0.7500).

The spin magnetization comes out at 0.0 μB per cell.



<R>
Density functional theory data (PBE-GGA) for a relaxed structure of TcGe2Mo.

It has space group R3m (No. 160, hexagonal axes), with a = 3.0081 Å, b = 3.0081 Å, c = 23.5876 Å, α = 90.00°, β = 90.00° and γ = 120.00°. The asymmetric unit holds Tc at (0.0000, 0.0000, 0.0000), Ge at (0.0000, 0.0000, 0.5843), Ge at (0.0000, 0.0000, 0.7463) and Mo at (0.0000, 0.0000, 0.1639).

The spin magnetization comes out at 0.0 μB per cell.



<S>
Density functional theory data (PBE-GGA) for a relaxed structure of TcGe2Mo.

It has space group I-42d (No. 122), with a = 6.9156 Å, b = 6.9156 Å, c = 5.5476 Å, α = 90.00°, β = 90.00° and γ = 90.00°. The asymmetric unit holds Tc at (0.0000, 0.0000, 0.0000), Ge at (0.2409, 0.2500, 0.1250) and Mo at (0.0000, 0.0000, 0.5000).

The spin magnetization comes out at 0.0 μB per cell.



Here are the energies relative to the best structure, in kJ/mol of atoms: <P> 1.8; <Q> 8.1; <R> 0.0; <S> 52.3.



<P>
Density functional theory data (PBE-GGA) for a relaxed structure of TcGe2Mo.

It has space group Fm-3m (No. 225), with a = 6.1995 Å, b = 6.1995 Å, c = 6.1995 Å, α = 90.00°, β = 90.00° and γ = 90.00°. The asymmetric unit holds Tc at (0.0000, 0.0000, 0.0000), Ge at (0.2500, 0.2500, 0.2500) and Mo at (0.0000, 0.0000, 0.5000).

The spin magnetization comes out at 0.0 μB per cell.



<Q>
Density functional theory data (PBE-GGA) for a relaxed structure of TcGe2Mo.

It has space group R-3m (No. 166, hexagonal axes), with a = 2.8848 Å, b = 2.8848 Å, c = 27.6067 Å, α = 90.00°, β = 90.00° and γ = 120.00°. The asymmetric unit holds Tc at (0.0000, 0.0000, 0.0000), Ge at (0.0000, 0.0000, 0.4055) and Mo at (0.0000, 0.0000, 0.5000).

The spin magnetization comes out at 0.0 μB per cell.



Here are the energies relative to the best structure, in kJ/mol of atoms: <P> 0.0; <Q> 23.7.